(1)
Li3HfBi | PBE | optimized geometry Values from VASP.

Cell and atoms, written as Quantum ESPRESSO input:
```
&SYSTEM
  ibrav = 0, nat = 5, ntyp = 3
/
ATOMIC_SPECIES
Bi 208.98 Bi.upf
Li 6.94 Li.upf
Hf 178.49 Hf.upf
ATOMIC_POSITIONS angstrom
Bi 0.000 0.000 0.000
Li 1.565 -1.805 0.688
Li 1.755 1.698 0.463
Li -0.806 0.195 2.343
Hf 2.513 0.088 3.494
CELL_PARAMETERS angstrom
-1.613 0.389 4.686
3.129 -3.609 1.377
3.510 3.396 0.926
```

## Properties
The formation energy comes out at 0.6184 eV/atom. The calculated density comes out at 5.5 g/cm³. The space group is No. 221. As for the distance to the lowest polymorph of the same formula: 0.000 eV/atom.



(2)
Mn4NbSi | PBE | optimized geometry Values from VASP.

Cell and atoms, written as Quantum ESPRESSO input:
```
&SYSTEM
  ibrav = 0, nat = 12, ntyp = 3
/
ATOMIC_SPECIES
Mn 54.94 Mn.upf
Nb 92.91 Nb.upf
Si 28.09 Si.upf
ATOMIC_POSITIONS angstrom
Mn -0.721 -0.417 4.821
Mn 0.311 -1.648 7.769
Mn 1.197 -1.428 3.421
Mn 0.000 0.000 0.000
Mn -3.115 -0.531 4.997
Mn -4.146 0.699 2.049
Mn -4.080 -1.574 7.424
Mn 0.244 0.626 2.394
Nb -2.070 -2.682 6.258
Nb -1.720 -1.038 2.386
Si -4.206 -1.386 3.111
Si 0.416 -2.335 5.534
CELL_PARAMETERS angstrom
-0.046 2.772 1.173
-6.184 -0.865 1.802
2.394 -2.856 6.843
```

## Properties
The calculated density comes out at 7.4 g/cm³. The space group is No. 51. As for the uncorrected formation energy: -115 meV per atom.



(3)
Pr5ErTe4 | PBE | optimized geometry Values from VASP.

Cell and atoms, written as Quantum ESPRESSO input:
```
&SYSTEM
  ibrav = 0, nat = 10, ntyp = 3
/
ATOMIC_SPECIES
Pr 140.91 Pr.upf
Er 167.26 Er.upf
Te 127.60 Te.upf
ATOMIC_POSITIONS angstrom
Pr 3.103 -0.641 3.699
Pr -0.741 1.854 7.386
Pr -0.378 2.097 3.562
Pr 2.762 3.090 5.790
Pr -3.881 0.860 5.157
Er -0.175 -1.853 1.072
Te 1.496 0.630 1.333
Te -2.129 -0.574 2.965
Te -2.615 3.320 9.615
Te 1.010 4.524 7.983
CELL_PARAMETERS angstrom
-0.349 -3.706 2.144
6.556 2.423 5.255
-7.325 5.233 3.549
```

## Properties
The calculated density comes out at 6.6 g/cm³. The space group is No. 12. As for the uncorrected formation energy: -1004 meV per atom.



(4)
LaSm5Tl | PBE | optimized geometry Values from VASP.

Cell and atoms, written as Quantum ESPRESSO input:
```
&SYSTEM
  ibrav = 0, nat = 7, ntyp = 3
/
ATOMIC_SPECIES
Tl 204.38 Tl.upf
Sm 150.36 Sm.upf
La 138.91 La.upf
ATOMIC_POSITIONS angstrom
Tl 0.000 0.000 0.000
Sm 2.926 0.000 1.795
Sm 0.000 2.926 1.795
Sm 2.926 2.926 0.000
Sm 2.926 0.000 5.314
Sm 0.000 2.926 5.314
La 0.000 0.000 3.554
CELL_PARAMETERS angstrom
5.852 0.000 0.000
0.000 5.852 0.000
0.000 0.000 7.108
```

## Properties
The formation energy comes out at 0.2875 eV/atom. The calculated density comes out at 7.5 g/cm³. The space group is No. 123.



(5)
Lu2MgBi | PBE | optimized geometry Values from VASP.

Cell and atoms, written as Quantum ESPRESSO input:
```
&SYSTEM
  ibrav = 0, nat = 4, ntyp = 3
/
ATOMIC_SPECIES
Mg 24.30 Mg.upf
Lu 174.97 Lu.upf
Bi 208.98 Bi.upf
ATOMIC_POSITIONS angstrom
Mg -5.461 -3.463 1.100
Lu -2.731 -1.732 0.550
Lu -8.192 -5.195 1.651
Bi 0.000 0.000 0.000
CELL_PARAMETERS angstrom
-5.306 -0.143 -0.716
-2.460 -4.678 -0.864
-3.156 -2.105 3.781
```

## Properties
The formation energy comes out at -0.2153 eV/atom. The calculated density comes out at 8.9 g/cm³. The space group is No. 225. As for the distance to the lowest polymorph of the same formula: 0.093 eV/atom.



(6)
ScTlBr2 | PBE | optimized geometry Values from VASP.

Cell and atoms, written as Quantum ESPRESSO input:
```
&SYSTEM
  ibrav = 0, nat = 4, ntyp = 3
/
ATOMIC_SPECIES
Br 79.90 Br.upf
Sc 44.96 Sc.upf
Tl 204.38 Tl.upf
ATOMIC_POSITIONS angstrom
Br -0.597 0.168 0.967
Br -2.630 0.726 4.246
Sc -2.960 1.196 1.644
Tl -6.187 2.090 6.856
CELL_PARAMETERS angstrom
-2.693 1.498 -1.924
-4.574 -1.961 4.874
-1.881 3.749 5.551
```

## Properties
The calculated density comes out at 4.8 g/cm³. The space group is No. 10. As for the distance to the lowest polymorph of the same formula: 0.116 eV/atom. As for the uncorrected formation energy: -920 meV per atom.



(7)
Sm3Dy2Tm6Th | PBE | optimized geometry Values from VASP.

Cell and atoms, written as Quantum ESPRESSO input:
```
&SYSTEM
  ibrav = 0, nat = 12, ntyp = 4
/
ATOMIC_SPECIES
Dy 162.50 Dy.upf
Sm 150.36 Sm.upf
Tm 168.93 Tm.upf
Th 232.04 Th.upf
ATOMIC_POSITIONS angstrom
Dy -2.903 -1.763 -1.023
Dy -1.971 -1.714 2.401
Sm 0.602 -5.945 -3.747
Sm 1.532 -5.895 -0.332
Sm 2.462 -5.846 3.083
Tm -1.706 -4.679 0.532
Tm 2.768 -8.844 1.193
Tm 1.219 -2.898 1.529
Tm 1.846 -8.892 -2.194
Tm 0.296 -2.947 -1.857
Tm 4.770 -7.112 -1.196
Th 0.000 0.000 0.000
CELL_PARAMETERS angstrom
-1.039 -1.664 5.821
-3.834 -1.812 -4.444
7.938 -8.314 -2.042
```

## Properties
The formation energy comes out at 0.0219 eV/atom. The calculated density comes out at 8.9 g/cm³. The space group is No. 12.



(8)
TbHo3Hg | PBE | optimized geometry Values from VASP.

Cell and atoms, written as Quantum ESPRESSO input:
```
&SYSTEM
  ibrav = 0, nat = 10, ntyp = 3
/
ATOMIC_SPECIES
Ho 164.93 Ho.upf
Tb 158.93 Tb.upf
Hg 200.59 Hg.upf
ATOMIC_POSITIONS angstrom
Ho -2.691 -4.701 4.034
Ho -1.042 -4.047 -1.235
Ho -3.861 -1.490 5.337
Ho -0.816 -2.828 6.234
Ho 2.003 -5.385 -0.338
Ho 0.833 -2.174 0.965
Tb 2.699 -4.353 2.875
Tb -4.557 -2.523 2.124
Hg -0.367 -5.043 1.824
Hg -1.491 -1.832 3.175
CELL_PARAMETERS angstrom
-2.579 -2.915 -5.405
4.920 -3.511 2.796
-4.199 -0.449 7.608
```

## Properties
The formation energy comes out at -0.1169 eV/atom. The calculated density comes out at 9.4 g/cm³. The space group is No. 12.



(9)
H3IrBr | PBE | optimized geometry Values from VASP.

Cell and atoms, written as Quantum ESPRESSO input:
```
&SYSTEM
  ibrav = 0, nat = 5, ntyp = 3
/
ATOMIC_SPECIES
Ir 192.22 Ir.upf
Br 79.90 Br.upf
H 1.01 H.upf
ATOMIC_POSITIONS angstrom
Ir -3.083 -0.539 0.730
Br 0.000 0.000 0.000
H -0.639 -0.455 1.681
H -1.067 -1.313 -0.761
H -1.377 1.229 -0.190
CELL_PARAMETERS angstrom
-2.134 -2.626 -1.522
-1.278 -0.911 3.362
-2.753 2.459 -0.381
```

## Properties
The calculated density comes out at 8.9 g/cm³. The space group is No. 221. As for the distance to the lowest polymorph of the same formula: 1.052 eV/atom.



(10)
Ag2IO4 | PBE | optimized geometry Values from VASP.

Cell and atoms, written as Quantum ESPRESSO input:
```
&SYSTEM
  ibrav = 0, nat = 7, ntyp = 3
/
ATOMIC_SPECIES
O 16.00 O.upf
Ag 107.87 Ag.upf
I 126.90 I.upf
ATOMIC_POSITIONS angstrom
O 3.107 2.457 3.435
O 0.588 1.136 5.889
O 0.517 -1.174 1.554
O -1.026 1.203 1.250
Ag 1.269 1.223 3.115
Ag 2.426 2.370 6.210
I 0.000 0.000 0.000
CELL_PARAMETERS angstrom
-2.052 2.406 2.500
1.034 -2.348 3.109
4.713 3.536 3.716
```

## Properties
The calculated density comes out at 6.5 g/cm³. The space group is No. 139. As for the distance to the lowest polymorph of the same formula: 0.095 eV/atom. As for the uncorrected formation energy: 40 meV per atom.



(11)
TbHo2ThP4 | PBE | optimized geometry Values from VASP.

Cell and atoms, written as Quantum ESPRESSO input:
```
&SYSTEM
  ibrav = 0, nat = 8, ntyp = 4
/
ATOMIC_SPECIES
P 30.97 P.upf
Ho 164.93 Ho.upf
Th 232.04 Th.upf
Tb 158.93 Tb.upf
ATOMIC_POSITIONS angstrom
P 0.000 7.116 4.775
P 2.023 5.883 1.537
P 4.046 2.328 1.635
P 2.023 3.561 4.872
Ho 0.000 2.460 6.546
Ho 2.023 1.230 3.273
Th 2.023 3.492 -0.068
Tb 0.000 4.722 3.205
CELL_PARAMETERS angstrom
4.046 0.000 0.000
0.000 6.984 -0.136
0.000 2.460 6.546
```

## Properties
The formation energy comes out at -1.6137 eV/atom. The calculated density comes out at 7.5 g/cm³. The space group is No. 10.



(12)
YHO2F | PBE | optimized geometry Values from VASP.

Cell and atoms, written as Quantum ESPRESSO input:
```
&SYSTEM
  ibrav = 0, nat = 5, ntyp = 4
/
ATOMIC_SPECIES
O 16.00 O.upf
H 1.01 H.upf
Y 88.91 Y.upf
F 19.00 F.upf
ATOMIC_POSITIONS angstrom
O 1.728 0.000 0.000
O 0.000 1.728 0.000
H 0.000 0.000 0.000
Y 1.728 1.728 1.850
F 0.000 0.000 1.850
CELL_PARAMETERS angstrom
3.456 0.000 0.000
0.000 3.456 0.000
0.000 0.000 3.700
```

## Properties
The calculated density comes out at 5.3 g/cm³. The space group is No. 123. The electronic total energy comes out at -6.0509 eV/atom.



no.,density of states at the Fermi level (states/eV per cell)
1,3.744
2,10.754
3,8.562
4,11.023
5,3.891
6,3.527
7,15.086
8,10.589
9,4.244
10,2.412
11,1.467
12,1.547